[1]
First-principles (PBE-GGA) data for LiLa2Ni2 after structural relaxation, as listed in Alexandria via LeMat-Bulk.

Values from the calculation:
* offset from the most stable computed form: 0.210 eV per atom
* N(E_F): 5.37 states/eV/f.u.
* electronic total energy: -4.6956 eV per atom
* calculated formation energy: -29 meV per atom

a = 8.2101 Å, b = 8.2101 Å, c = 3.4066 Å
α = 90.00°, β = 90.00°, γ = 90.00°
Atoms (fractional coordinates):
Li: 0.0000 0.0000 0.0000
Li: 0.5000 0.5000 0.0000
La: 0.1508 0.3492 0.0000
La: 0.3492 0.8492 0.0000
La: 0.6508 0.1508 0.0000
La: 0.8492 0.6508 0.0000
Ni: 0.1413 0.6413 0.5000
Ni: 0.3587 0.1413 0.5000
Ni: 0.6413 0.8587 0.5000
Ni: 0.8587 0.3587 0.5000

[2]
First-principles (PBE-GGA) data for BaNdSm4S8 after structural relaxation, as listed in Alexandria via LeMat-Bulk.

Values from the calculation:
* N(E_F): 3.69 states/eV/f.u.
* ΔE_f (raw): -1.96 eV per atom
* electronic total energy: -6.1446 eV per atom

a = 8.4362 Å, b = 8.4362 Å, c = 8.4362 Å
α = 59.76°, β = 59.76°, γ = 59.76°
Atoms (fractional coordinates):
Ba: 0.0000 0.0000 0.0000
Nd: 0.6273 0.6273 0.6273
Sm: 0.1208 0.6273 0.6273
Sm: 0.2509 0.2509 0.2509
Sm: 0.6273 0.1208 0.6273
Sm: 0.6273 0.6273 0.1208
S: 0.3811 0.3811 0.8550
S: 0.3811 0.8550 0.3811
S: 0.3830 0.3830 0.3830
S: 0.4255 0.8609 0.8609
S: 0.8550 0.3811 0.3811
S: 0.8586 0.8586 0.8586
S: 0.8609 0.4255 0.8609
S: 0.8609 0.8609 0.4255

[3]
First-principles (PBE-GGA) data for NaTl16Hg12 after structural relaxation, as listed in Alexandria via LeMat-Bulk.

Values from the calculation:
* N(E_F): 9.95 states/eV/f.u.
* electronic total energy: -1.4981 eV per atom
* calculated formation energy: -22 meV per atom

a = 10.2942 Å, b = 10.2942 Å, c = 10.2166 Å
α = 109.62°, β = 109.62°, γ = 109.44°
Atoms (fractional coordinates):
Na: 0.0000 0.0000 0.0000
Tl: 0.0242 0.7153 0.1177
Tl: 0.3069 0.6321 0.3199
Tl: 0.3072 0.6631 0.7122
Tl: 0.3107 0.3107 0.7141
Tl: 0.3110 0.9066 0.0369
Tl: 0.3135 0.3135 0.0735
Tl: 0.5989 0.9876 0.3968
Tl: 0.6300 0.9083 0.7163
Tl: 0.6321 0.3069 0.3199
Tl: 0.6631 0.3072 0.7122
Tl: 0.6932 0.6932 0.4213
Tl: 0.7153 0.0242 0.1177
Tl: 0.9066 0.3110 0.0369
Tl: 0.9083 0.6300 0.7163
Tl: 0.9518 0.9518 0.3733
Tl: 0.9876 0.5989 0.3968
Hg: 0.1175 0.3046 0.3424
Hg: 0.1218 0.4977 0.9103
Hg: 0.1220 0.9428 0.7280
Hg: 0.3046 0.1175 0.3424
Hg: 0.3113 0.9482 0.5390
Hg: 0.4842 0.6701 0.0695
Hg: 0.4910 0.4910 0.5327
Hg: 0.4977 0.1218 0.9103
Hg: 0.6701 0.4842 0.0695
Hg: 0.6939 0.6939 0.9013
Hg: 0.9428 0.1220 0.7280
Hg: 0.9482 0.3113 0.5390

Look up the electronic total energy of the first one. -4.6956 eV per atom